Below is a relaxed structure of Ba2TbAl3Si2Pd, with properties calculated at the PBE level.

Cell: 4.3123 8.0855 8.0855 Å, 128.34 90.00 90.00°
Closest atoms and distances in Å follow each position.
Element x y z (fractional)
Ba 0.0000 0.4172 0.9895  4 Si 3.31-3.39, 1 Pd 3.40, 2 Al 3.66, 2 Ba 3.68
Tb 0.0000 0.5756 0.5756  4 Si 2.91, 1 Pd 3.05, 2 Al 3.20
Si 0.5000 0.3843 0.6472  2 Al 2.56-2.73
Ba 0.0000 0.9895 0.4172  4 Si 3.31-3.39, 1 Pd 3.40, 2 Al 3.66, 2 Ba 3.68
Si 0.5000 0.6472 0.3843  2 Al 2.56-2.73
Al 0.5000 0.2391 0.2391  2 Pd 2.70, 2 Si 2.73, 2 Al 2.92
Al 0.5000 0.7782 0.9606  1 Si 2.56, 1 Al 2.66, 2 Pd 2.71
Pd 0.0000 0.0083 0.0083  6 Al 2.70-2.71
Al 0.5000 0.9606 0.7782  1 Si 2.56, 1 Al 2.66, 2 Pd 2.71

Properties
* energy: -4.45 eV per atom
* spin magnetization: 0.0 Bohr magnetons per cell